This record from Alexandria describes Rb2MnZnO4 after structural relaxation. The functional is GGA+U.

Geometry as POSCAR:
```
Rb2MnZnO4
1.0
5.330 0.000 0.000
2.665 6.025 0.000
2.665 0.000 10.184
Rb O Mn Zn
4 8 2 2
Direct
0.176 0.000 0.648 Rb
0.574 0.500 0.852 Rb
0.926 0.500 0.148 Rb
0.824 0.000 0.352 Rb
0.891 0.668 0.588 O
0.148 0.332 0.412 O
0.229 0.168 0.912 O
0.309 0.832 0.088 O
0.441 0.668 0.412 O
0.859 0.832 0.912 O
0.521 0.332 0.588 O
0.602 0.168 0.088 O
0.500 0.000 0.000 Mn
0.250 0.500 0.500 Mn
0.000 0.000 0.000 Zn
0.750 0.500 0.500 Zn
```

- Calculated total energy: -5.12 eV per atom
- Magnetic moment: 0.38 μB/atom

***

This record from Alexandria describes RbZr2Mn2O7 after structural relaxation. The functional is GGA+U.

Geometry as POSCAR:
```
RbZr2Mn2O7
1.0
-0.133 0.282 4.227
0.418 -4.247 0.296
8.790 2.877 -2.041
Zr O Mn Rb
2 7 2 1
Direct
0.386 0.386 0.771 Zr
0.614 0.614 0.229 Zr
0.132 0.631 0.263 O
0.868 0.369 0.737 O
0.739 0.739 0.478 O
0.500 0.500 0.000 O
0.630 0.130 0.261 O
0.370 0.870 0.739 O
0.261 0.261 0.522 O
0.250 0.750 0.500 Mn
0.750 0.250 0.500 Mn
0.000 0.000 0.000 Rb
```

- Calculated total energy: -8.07 eV per atom
- Magnetic moment: 0.75 μB/atom
- N(E_F): 4.01 states/eV per cell

***

This record from Alexandria describes Rb2Zr3MnO8 after structural relaxation. The functional is GGA+U.

Geometry as POSCAR:
```
Rb2Zr3MnO8
1.0
6.553 0.000 0.000
3.277 5.675 0.000
3.277 1.892 6.881
Zr O Rb Mn
3 8 2 1
Direct
0.492 0.991 0.026 Zr
0.991 0.492 0.026 Zr
0.492 0.492 0.026 Zr
0.272 0.272 0.184 O
0.709 0.709 0.873 O
0.692 0.216 0.877 O
0.759 0.294 0.188 O
0.216 0.216 0.877 O
0.294 0.759 0.188 O
0.759 0.759 0.188 O
0.216 0.692 0.877 O
0.492 0.492 0.524 Rb
0.138 0.138 0.586 Rb
0.972 0.972 0.083 Mn
```

- Calculated total energy: -8.02 eV per atom
- Magnetic moment: 0.36 μB/atom
- N(E_F): 0.00 states/eV per cell

***

This record from Alexandria describes RbZrMnO4 after structural relaxation. The functional is GGA+U.

Geometry as POSCAR:
```
RbZrMnO4
1.0
7.169 0.000 0.000
-3.585 5.560 -0.620
0.000 -3.553 5.843
Zr Mn O Rb
2 2 8 2
Direct
0.500 0.000 0.000 Zr
0.500 0.000 0.500 Zr
0.000 0.500 0.500 Mn
0.500 0.500 0.500 Mn
0.267 0.535 0.318 O
0.716 0.054 0.277 O
0.338 0.054 0.277 O
0.662 0.946 0.723 O
0.267 0.535 0.717 O
0.284 0.946 0.723 O
0.733 0.465 0.682 O
0.733 0.465 0.283 O
0.101 0.202 0.851 Rb
0.899 0.798 0.149 Rb
```

- Calculated total energy: -7.34 eV per atom
- Magnetic moment: 0.57 μB/atom
- N(E_F): 0.40 states/eV per cell

***

This record from Alexandria describes Rb3ZrMn2O6 after structural relaxation. The functional is GGA+U.

Geometry as POSCAR:
```
Rb3ZrMn2O6
1.0
-1.997 2.324 -4.778
4.269 -3.703 -0.526
-5.083 -4.300 1.395
O Mn Zr Rb
6 2 1 3
Direct
0.035 0.369 0.179 O
0.631 0.965 0.821 O
0.278 0.278 0.846 O
0.369 0.035 0.179 O
0.965 0.631 0.821 O
0.722 0.722 0.154 O
0.670 0.330 0.000 Mn
0.330 0.670 0.000 Mn
0.000 0.000 0.000 Zr
0.500 0.500 0.500 Rb
0.168 0.832 0.500 Rb
0.832 0.168 0.500 Rb
```

- Calculated total energy: -6.54 eV per atom
- Magnetic moment: 0.75 μB/atom
- N(E_F): 2.10 states/eV per cell

***

This record from Alexandria describes Mn3ReO after structural relaxation. The functional is GGA+U.

Geometry as POSCAR:
```
Mn3ReO
1.0
-1.091 -3.017 2.148
2.931 0.666 2.423
-2.264 2.316 2.102
Mn Re O
3 1 1
Direct
0.000 0.500 0.000 Mn
0.000 0.000 0.500 Mn
0.500 0.000 0.000 Mn
0.500 0.500 0.500 Re
0.000 0.000 0.000 O
```

- Calculated total energy: -6.40 eV per atom
- Magnetic moment: 0.34 μB/atom
- Energy relative to the lowest polymorph listed for this composition: 0.000 eV per atom
- N(E_F): 7.09 states/eV per cell

***

Q: What is the magnetic moment in the sixth record?
A: 0.34 μB/atom